Record 1
Material: Tb3Pm2Tm7
Method: DFT, PBE
State: relaxed

a = 6.055 Å, b = 5.559 Å, c = 12.112 Å
α = 90.00°, β = 95.26°, γ = 90.00°
Space group P2/m (No. 10)
Symmetry-distinct sites (fractional):
Tb 0.000 0.000 0.000 [1 per cell]
Tb 0.474 0.500 0.321 [2 per cell]
Pm 0.133 0.000 0.291 [2 per cell]
Tm 0.047 0.500 0.831 [2 per cell]
Tm 0.278 0.000 0.560 [2 per cell]
Tm 0.409 0.000 0.842 [2 per cell]
Tm 0.500 0.500 0.000 [1 per cell]

## Properties
Relative energy among the computed polymorphs (eV per atom): 0.2111
Energy of formation (kJ per mole of atoms): 31.2

---

Record 2
Material: MnCrIn2
Method: DFT, PBE
State: relaxed

a = 3.1336 Å, b = 3.1336 Å, c = 26.9843 Å
α = 90.00°, β = 90.00°, γ = 120.00°
Space group R-3m (No. 166, hexagonal axes)
Symmetry-distinct sites (fractional):
Mn 0.0000 0.0000 0.0000 [3 per cell]
Cr 0.0000 0.0000 0.5000 [3 per cell]
In 0.0000 0.0000 0.2505 [6 per cell]

## Properties
Relative energy among the computed polymorphs (eV per atom): 0.1932
Energy of formation (kJ per mole of atoms): 41.4

---

Record 3
Material: Sr3Zn2RuO8
Method: DFT, PBE
State: relaxed

a = 5.6066 Å, b = 5.6066 Å, c = 7.3414 Å
α = 90.00°, β = 90.00°, γ = 120.00°
Space group P-3m1 (No. 164)
Symmetry-distinct sites (fractional):
Sr 0.0000 0.0000 0.0000 [1 per cell]
Sr 0.3333 0.6667 0.6332 [2 per cell]
Zn 0.3333 0.6667 0.1918 [2 per cell]
Ru 0.0000 0.0000 0.5000 [1 per cell]
O 0.1608 0.3216 0.3417 [6 per cell]
O 0.3333 0.6667 0.9437 [2 per cell]

## Properties
Formation energy (no corrections) (eV per atom): -1.768

---

Record 4
Material: Sr3Ac3ScTe8
Method: DFT, PBE
State: relaxed

a = 9.3251 Å, b = 9.3251 Å, c = 23.3000 Å
α = 90.00°, β = 90.00°, γ = 120.00°
Space group R-3m (No. 166, hexagonal axes)
Symmetry-distinct sites (fractional):
Sr 0.0000 0.5000 0.0000 [9 per cell]
Ac 0.0000 0.5000 0.5000 [9 per cell]
Sc 0.0000 0.0000 0.5000 [3 per cell]
Te 0.0000 0.0000 0.2516 [6 per cell]
Te 0.0273 0.5137 0.2435 [18 per cell]

## Properties
Formation energy (no corrections) (eV per atom): -1.542

---

Record 5
Material: CsSb
Method: DFT, PBE
State: relaxed

a = 7.945 Å, b = 7.945 Å, c = 7.945 Å
α = 90.00°, β = 90.00°, γ = 90.00°
Space group Fm-3m (No. 225)
Symmetry-distinct sites (fractional):
Cs 0.000 0.000 0.000 [4 per cell]
Sb 0.000 0.000 0.500 [4 per cell]

## Properties
Formation energy (no corrections) (eV per atom): 0.293
Relative energy among the computed polymorphs (eV per atom): 0.7571

---

Record 6
Material: Tb2SmErSc
Method: DFT, PBE
State: relaxed

a = 8.181 Å, b = 11.234 Å, c = 7.086 Å
α = 90.00°, β = 90.00°, γ = 90.00°
Space group Cmcm (No. 63)
Symmetry-distinct sites (fractional):
Tb 0.198 0.000 0.000 [8 per cell]
Sm 0.000 0.230 0.250 [4 per cell]
Er 0.000 0.234 0.750 [4 per cell]
Sc 0.000 0.495 0.250 [4 per cell]

## Properties
Energy of formation (kJ per mole of atoms): 33.6